# 1
The following is a PBE-GGA calculation of a relaxed Sr2HoCu9 crystal, from the Alexandria database.

CIF file:
```
data_Sr2HoCu9
_chemical_formula_sum 'Sr6 Ho3 Cu27'
_cell_length_a 5.2193
_cell_length_b 5.2193
_cell_length_c 26.1456
_cell_angle_alpha 90.00
_cell_angle_beta 90.00
_cell_angle_gamma 120.00
_symmetry_space_group_name_H-M 'R -3 m'
_symmetry_Int_Tables_number 166
_symmetry_space_group_name_Hall '-R 3 2"'
loop_
_atom_site_label
_atom_site_fract_x
_atom_site_fract_y
_atom_site_fract_z
_atom_site_occupancy
Sr1 0.0000 0.0000 0.1396 1
Ho1 0.0000 0.0000 0.0000 1
Cu1 0.0000 0.0000 0.3317 1
Cu2 0.0000 0.0000 0.5000 1
Cu3 0.0056 0.5028 0.0768 1
```

Summary:
Formation energy from the elements, meV/atom: -59
Energy, eV per formula unit: -45.516
Magnetization, μB/atom: 0.000

=====

# 2
The following is a PBE-GGA calculation of a relaxed SrHoTlCu crystal, from the Alexandria database.

CIF file:
```
data_SrHoTlCu
_chemical_formula_sum 'Sr4 Ho4 Tl4 Cu4'
_cell_length_a 7.567
_cell_length_b 7.567
_cell_length_c 7.567
_cell_angle_alpha 90.00
_cell_angle_beta 90.00
_cell_angle_gamma 90.00
_symmetry_space_group_name_H-M 'F -4 3 m'
_symmetry_Int_Tables_number 216
_symmetry_space_group_name_Hall 'F -4 2 3'
loop_
_atom_site_label
_atom_site_fract_x
_atom_site_fract_y
_atom_site_fract_z
_atom_site_occupancy
Sr1 0.000 0.000 0.000 1
Ho1 0.000 0.000 0.500 1
Tl1 0.250 0.250 0.250 1
Cu1 0.250 0.250 0.750 1
```

Summary:
Formation energy from the elements, meV/atom: -131
Energy, eV per formula unit: -13.245
Magnetization, μB/atom: 0.000

=====

# 3
The following is a PBE-GGA calculation of a relaxed TbHo4Cu5 crystal, from the Alexandria database.

CIF file:
```
data_TbHo4Cu5
_chemical_formula_sum 'Tb1 Ho4 Cu5'
_cell_length_a 3.439
_cell_length_b 3.439
_cell_length_c 17.454
_cell_angle_alpha 90.00
_cell_angle_beta 90.00
_cell_angle_gamma 90.00
_symmetry_space_group_name_H-M 'P 4/m m m'
_symmetry_Int_Tables_number 123
_symmetry_space_group_name_Hall '-P 4 2'
loop_
_atom_site_label
_atom_site_fract_x
_atom_site_fract_y
_atom_site_fract_z
_atom_site_occupancy
Tb1 0.000 0.000 0.000 1
Ho1 0.000 0.000 0.201 1
Ho2 0.000 0.000 0.400 1
Cu1 0.500 0.500 0.102 1
Cu2 0.500 0.500 0.300 1
Cu3 0.500 0.500 0.500 1
```

Summary:
Formation energy from the elements, meV/atom: -264
Energy, eV per formula unit: -46.065
Magnetization, μB/atom: 0.000